No. 1
# ScGeH3

ScGeH3 after structural relaxation (PBE-GGA, the Alexandria database).

Values from the calculation:
Size of the total moment ... 0.0 μB/f.u.
Raw total energy ... -3.859 eV/atom
Relative energy among the computed polymorphs ... 1.39 eV/f.u.

a b c (Å): 3.711 3.711 3.711
angles (deg): 90.00 90.00 90.00
Element x y z (fractional)
Sc  0.000  0.000  0.000
Ge  0.500  0.500  0.500
H  0.000  0.500  0.500
H  0.500  0.000  0.500
H  0.500  0.500  0.000



No. 2
# ScGeH

ScGeH after structural relaxation (PBE-GGA, the Alexandria database).

Values from the calculation:
Size of the total moment ... 0.0 μB/f.u.
Raw total energy ... -4.978 eV/atom
Relative energy among the computed polymorphs ... 0.92 eV/f.u.

a b c (Å): 5.458 4.592 8.437
angles (deg): 90.00 90.00 90.00
Element x y z (fractional)
Sc  0.237  0.250  0.075
Sc  0.263  0.750  0.575
Sc  0.737  0.250  0.425
Sc  0.763  0.750  0.925
Ge  0.226  0.250  0.394
Ge  0.274  0.750  0.894
Ge  0.726  0.250  0.106
Ge  0.774  0.750  0.606
H  0.101  0.750  0.060
H  0.399  0.250  0.560
H  0.601  0.750  0.440
H  0.899  0.250  0.940



No. 3
# ScGeH

ScGeH after structural relaxation (PBE-GGA, the Alexandria database).

Values from the calculation:
Size of the total moment ... 0.0 μB/f.u.
Raw total energy ... -5.214 eV/atom
Relative energy among the computed polymorphs ... 0.21 eV/f.u.

a b c (Å): 8.737 3.334 5.792
angles (deg): 90.00 90.00 90.00
Element x y z (fractional)
Sc  0.011  0.250  0.235
Sc  0.489  0.750  0.735
Sc  0.511  0.250  0.265
Sc  0.989  0.750  0.765
Ge  0.234  0.250  0.584
Ge  0.266  0.750  0.084
Ge  0.734  0.250  0.916
Ge  0.766  0.750  0.416
H  0.071  0.250  0.905
H  0.429  0.750  0.405
H  0.571  0.250  0.595
H  0.929  0.750  0.095



No. 4
# SmScGeH

SmScGeH after structural relaxation (PBE-GGA, the Alexandria database).

Values from the calculation:
Size of the total moment ... 0.1 μB/f.u.
Raw total energy ... -5.482 eV/atom

a b c (Å): 4.244 4.244 8.183
angles (deg): 90.00 90.00 90.00
Element x y z (fractional)
Sm  0.250  0.250  0.135
Sm  0.750  0.750  0.865
Sc  0.250  0.750  0.500
Sc  0.750  0.250  0.500
Ge  0.250  0.250  0.723
Ge  0.750  0.750  0.277
H  0.250  0.750  0.000
H  0.750  0.250  0.000



No. 5
# Sm2Sc4Ge3H2

Sm2Sc4Ge3H2 after structural relaxation (PBE-GGA, the Alexandria database).

Values from the calculation:
Size of the total moment ... 1.5 μB/f.u.
Raw total energy ... -5.725 eV/atom

a b c (Å): 11.801 11.801 11.801
angles (deg): 158.82 158.82 30.13
Element x y z (fractional)
Sm  0.198  0.198  0.000
Sm  0.802  0.802  0.000
Sc  0.078  0.578  0.500
Sc  0.422  0.922  0.500
Sc  0.578  0.078  0.500
Sc  0.922  0.422  0.500
Ge  0.334  0.334  0.000
Ge  0.500  0.500  0.000
Ge  0.666  0.666  0.000
H  0.092  0.092  0.000
H  0.908  0.908  0.000



No. 6
# Tb2Sc4Ge3H2

Tb2Sc4Ge3H2 after structural relaxation (PBE-GGA, the Alexandria database).

Values from the calculation:
Size of the total moment ... 1.7 μB/f.u.
Raw total energy ... -5.707 eV/atom

a b c (Å): 11.715 11.715 11.715
angles (deg): 158.81 158.81 30.14
Element x y z (fractional)
Tb  0.198  0.198  0.000
Tb  0.802  0.802  0.000
Sc  0.078  0.578  0.500
Sc  0.422  0.922  0.500
Sc  0.578  0.078  0.500
Sc  0.922  0.422  0.500
Ge  0.332  0.332  0.000
Ge  0.500  0.500  0.000
Ge  0.668  0.668  0.000
H  0.094  0.094  0.000
H  0.906  0.906  0.000



No. 7
# Sc2Tc2Ge2H

Sc2Tc2Ge2H after structural relaxation (PBE-GGA, the Alexandria database).

Values from the calculation:
Size of the total moment ... 0.0 μB/f.u.
Raw total energy ... -7.139 eV/atom

a b c (Å): 7.313 7.313 7.313
angles (deg): 148.09 148.09 45.75
Element x y z (fractional)
Sc  0.158  0.158  0.000
Sc  0.842  0.842  0.000
Tc  0.000  0.500  0.500
Tc  0.500  0.000  0.500
Ge  0.373  0.373  0.000
Ge  0.627  0.627  0.000
H  0.000  0.000  0.000



No. 8
# Th2Sc4Ge3H2

Th2Sc4Ge3H2 after structural relaxation (PBE-GGA, the Alexandria database).

Values from the calculation:
Size of the total moment ... 0.0 μB/f.u.
Raw total energy ... -6.175 eV/atom

a b c (Å): 11.837 11.837 11.837
angles (deg): 158.86 158.86 30.08
Element x y z (fractional)
Th  0.198  0.198  0.000
Th  0.802  0.802  0.000
Sc  0.076  0.576  0.500
Sc  0.424  0.924  0.500
Sc  0.576  0.076  0.500
Sc  0.924  0.424  0.500
Ge  0.336  0.336  0.000
Ge  0.500  0.500  0.000
Ge  0.664  0.664  0.000
H  0.092  0.092  0.000
H  0.908  0.908  0.000



No. 9
# ScTi2GeH

ScTi2GeH after structural relaxation (PBE-GGA, the Alexandria database).

Values from the calculation:
Size of the total moment ... 0.0 μB/f.u.
Raw total energy ... -6.474 eV/atom

a b c (Å): 4.072 4.072 4.267
angles (deg): 90.00 90.00 90.00
Element x y z (fractional)
Sc  0.000  0.000  0.000
Ti  0.000  0.500  0.500
Ti  0.500  0.000  0.500
Ge  0.500  0.500  0.000
H  0.000  0.000  0.500



No. 10
# Y2ScGeH

Y2ScGeH after structural relaxation (PBE-GGA, the Alexandria database).

Values from the calculation:
Size of the total moment ... 1.1 μB/f.u.
Raw total energy ... -5.857 eV/atom

a b c (Å): 4.674 4.674 4.461
angles (deg): 90.00 90.00 90.00
Element x y z (fractional)
Y  0.000  0.500  0.000
Y  0.500  0.000  0.000
Sc  0.000  0.000  0.500
Ge  0.500  0.500  0.500
H  0.000  0.000  0.000



No. 11
# YScGeH

YScGeH after structural relaxation (PBE-GGA, the Alexandria database).

Values from the calculation:
Size of the total moment ... 0.1 μB/f.u.
Raw total energy ... -5.913 eV/atom

a b c (Å): 4.183 4.183 8.064
angles (deg): 90.00 90.00 90.00
Element x y z (fractional)
Y  0.250  0.250  0.133
Y  0.750  0.750  0.867
Sc  0.250  0.750  0.500
Sc  0.750  0.250  0.500
Ge  0.250  0.250  0.728
Ge  0.750  0.750  0.272
H  0.250  0.750  0.000
H  0.750  0.250  0.000



No. 12
# ScZn2GeH

ScZn2GeH after structural relaxation (PBE-GGA, the Alexandria database).

Values from the calculation:
Size of the total moment ... 0.0 μB/f.u.
Raw total energy ... -3.593 eV/atom

a b c (Å): 4.082 4.082 4.201
angles (deg): 90.00 90.00 90.00
Element x y z (fractional)
Sc  0.000  0.000  0.000
Zn  0.000  0.500  0.500
Zn  0.500  0.000  0.500
Ge  0.500  0.500  0.000
H  0.000  0.000  0.500



No. 13
# Zr2ScGeH

Zr2ScGeH after structural relaxation (PBE-GGA, the Alexandria database).

Values from the calculation:
Size of the total moment ... 0.0 μB/f.u.
Raw total energy ... -6.756 eV/atom

a b c (Å): 4.345 4.345 4.391
angles (deg): 90.00 90.00 90.00
Element x y z (fractional)
Zr  0.000  0.500  0.000
Zr  0.500  0.000  0.000
Sc  0.000  0.000  0.500
Ge  0.500  0.500  0.500
H  0.000  0.000  0.000